--- one ---
VASP calculation (GGA-PBEsol) on a relaxed structure of KLi2Cr.

Unit cell a=3.184 b=5.145 c=6.998 alpha=95.16 beta=90.00 gamma=108.03
Fractional coordinates of all 4 atoms:
Cr (0.500, 0.000, 0.000)
K (0.000, 0.000, 0.500)
Li (0.765, 0.530, 0.836)
Li (0.235, 0.470, 0.164)



--- two ---
VASP calculation (GGA-PBEsol) on a relaxed structure of KLi2Cr.

Unit cell a=6.741 b=6.753 c=6.753 alpha=75.57 beta=60.06 gamma=60.06
Fractional coordinates of all 8 atoms:
Cr (0.000, 0.000, 0.000)
Cr (0.750, 0.500, 0.500)
K (0.500, 0.000, 0.000)
K (0.250, 0.500, 0.500)
Li (0.875, 0.050, 0.450)
Li (0.375, 0.950, 0.550)
Li (0.675, 0.450, 0.950)
Li (0.075, 0.550, 0.050)



In meV per atom, relative to the most stable structure: one 0; two 147.